DFT (GGA-PBE) results for a geometry-optimized SrTaF2 structure.

The structure in POSCAR format:
```
SrTaF2
1.0
3.864 0.000 0.000
-1.932 3.346 0.000
0.000 0.000 18.106
Sr Ta F
3 3 6
Cartesian
0.000 0.000 0.000 Sr
0.000 2.231 12.071 Sr
1.932 1.115 6.035 Sr
0.000 0.000 9.053 Ta
0.000 2.231 3.018 Ta
1.932 1.115 15.089 Ta
0.000 0.000 2.525 F
0.000 0.000 15.581 F
0.000 2.231 9.546 F
0.000 2.231 14.596 F
1.932 1.115 3.510 F
1.932 1.115 8.560 F
```

- Density: 6.52 g cm⁻³
- Formation energy (no corrections): -29.44 kcal/mol of atoms
- V: 234.08 Å³/cell
- E above lowest polymorph: 332 meV/atom
- DOS at the Fermi energy: 5.51 states/eV per cell
- Space group: R-3m



DFT (GGA-PBE) results for a geometry-optimized SrMn3Br9 structure.

The structure in POSCAR format:
```
SrMn3Br9
1.0
9.889 -4.840 0.000
9.889 4.840 0.000
-8.924 0.000 10.620
Sr Mn Br
2 6 18
Cartesian
5.427 2.709 5.310 Sr
9.889 -2.709 0.000 Sr
-4.457 1.308 8.943 Mn
1.024 0.798 7.105 Mn
0.005 -1.308 3.633 Mn
5.486 -0.798 1.795 Mn
12.703 0.763 2.309 Mn
8.241 -0.763 7.619 Mn
0.958 0.635 2.587 Br
7.551 3.767 3.203 Br
5.815 1.289 0.391 Br
-3.504 -0.635 7.897 Br
3.146 1.999 7.222 Br
4.700 0.088 3.932 Br
0.238 -0.088 9.242 Br
1.353 -1.289 5.701 Br
13.582 2.575 0.790 Br
10.291 1.203 2.964 Br
8.001 1.283 6.310 Br
7.608 -1.999 1.912 Br
5.829 -1.203 8.274 Br
12.463 -1.283 1.000 Br
14.071 0.504 4.327 Br
3.089 -3.767 8.513 Br
9.609 -0.504 9.637 Br
9.120 -2.575 6.100 Br
```

- Density: 3.17 g cm⁻³
- Formation energy (no corrections): -22.80 kcal/mol of atoms
- V: 1016.50 Å³/cell
- DOS at the Fermi energy: 9.50 states/eV per cell
- Space group: Cc



DFT (GGA-PBE) results for a geometry-optimized FeCo2H3 structure.

The structure in POSCAR format:
```
FeCo2H3
1.0
2.630 0.000 0.000
0.000 2.630 0.000
0.000 0.000 11.139
Fe Co H
2 4 6
Cartesian
0.000 0.000 0.000 Fe
1.315 1.315 5.569 Fe
0.000 0.000 3.734 Co
0.000 0.000 7.405 Co
1.315 1.315 1.835 Co
1.315 1.315 9.304 Co
0.000 0.000 1.908 H
0.000 0.000 5.569 H
0.000 0.000 9.231 H
1.315 1.315 0.000 H
1.315 1.315 3.661 H
1.315 1.315 7.478 H
```

- Density: 7.62 g cm⁻³
- V: 77.03 Å³/cell
- Uncorrected energy: -5.467 eV per atom
- DOS at the Fermi energy: 6.53 states/eV per cell
- Space group: I4/mmm



DFT (GGA-PBE) results for a geometry-optimized V2Cu2Sn structure.

The structure in POSCAR format:
```
V2Cu2Sn
1.0
3.466 0.000 0.000
0.000 3.466 0.000
0.000 0.000 13.146
V Cu Sn
4 4 2
Cartesian
0.000 1.733 3.287 V
0.000 1.733 9.860 V
1.733 0.000 3.287 V
1.733 0.000 9.860 V
0.000 0.000 1.297 Cu
0.000 0.000 11.849 Cu
1.733 1.733 5.276 Cu
1.733 1.733 7.870 Cu
0.000 0.000 6.573 Sn
1.733 1.733 0.000 Sn
```

- Density: 7.31 g cm⁻³
- V: 157.94 Å³/cell
- Formation energy from the elements: 0.381 eV/atom
- DOS at the Fermi energy: 9.86 states/eV per cell
- Space group: I4/mmm



DFT (GGA-PBE) results for a geometry-optimized YBe2ZnB structure.

The structure in POSCAR format:
```
YBe2ZnB
1.0
3.928 0.000 0.000
0.000 3.928 0.000
0.000 0.000 4.929
Y Be Zn B
1 2 1 1
Cartesian
0.000 0.000 0.000 Y
0.000 1.964 2.465 Be
1.964 0.000 2.465 Be
1.964 1.964 0.000 Zn
0.000 0.000 2.465 B
```

- Density: 4.00 g cm⁻³
- V: 76.06 Å³/cell
- Formation energy from the elements: 0.210 eV/atom
- DOS at the Fermi energy: 2.71 states/eV per cell
- Space group: P4/mmm



DFT (GGA-PBE) results for a geometry-optimized NbInO2 structure.

The structure in POSCAR format:
```
NbInO2
1.0
5.610 0.000 0.000
0.000 5.610 0.000
0.000 0.000 10.375
Nb In O
4 4 8
Cartesian
0.000 0.000 0.000 Nb
0.000 2.805 2.594 Nb
2.805 0.000 7.781 Nb
2.805 2.805 5.188 Nb
0.000 0.000 5.188 In
0.000 2.805 7.781 In
2.805 0.000 2.594 In
2.805 2.805 0.000 In
0.331 1.402 1.297 O
1.402 3.136 3.891 O
1.402 5.279 9.078 O
2.474 1.402 6.484 O
3.136 4.207 6.484 O
4.207 0.331 9.078 O
4.207 2.474 3.891 O
5.279 4.207 1.297 O
```

- Density: 4.88 g cm⁻³
- Formation energy (no corrections): -32.47 kcal/mol of atoms
- V: 326.49 Å³/cell
- DOS at the Fermi energy: 10.52 states/eV per cell
- Space group: I-42d